(1)
! K5ReCl2O4 (PBE, optimized geometry); values from VASP
&SYSTEM
  ibrav = 0, nat = 12, ntyp = 4
/
ATOMIC_SPECIES
K 39.10 K.upf
Re 186.21 Re.upf
Cl 35.45 Cl.upf
O 16.00 O.upf
CELL_PARAMETERS angstrom
6.795 0.000 0.000
-3.398 5.167 0.000
0.000 0.000 8.284
ATOMIC_POSITIONS angstrom
K -0.761 1.877 1.725
K 3.308 0.000 4.142
K -0.761 1.877 6.559
K 2.636 3.290 6.559
K 2.636 3.290 1.725
Re 2.733 0.000 0.000
Cl 4.460 3.086 4.142
Cl 1.063 2.081 4.142
O 4.027 0.000 1.371
O 4.027 0.000 6.913
O 1.586 1.464 0.000
O -1.811 3.703 0.000
! density of states at the Fermi level = 2.53 states/eV/cell

***

(2)
! K2ReCl5O (PBE, optimized geometry); values from VASP
&SYSTEM
  ibrav = 0, nat = 36, ntyp = 4
/
ATOMIC_SPECIES
K 39.10 K.upf
Re 186.21 Re.upf
Cl 35.45 Cl.upf
O 16.00 O.upf
CELL_PARAMETERS angstrom
6.974 0.000 0.000
0.000 10.182 0.000
0.000 0.000 13.566
ATOMIC_POSITIONS angstrom
K 1.239 0.017 4.874
K 5.734 5.108 8.693
K 4.726 10.165 1.910
K 2.247 0.017 11.657
K 4.726 5.108 1.910
K 2.247 5.074 11.657
K 1.239 5.074 4.874
K 5.734 10.165 8.693
Re 1.228 2.546 1.321
Re 5.746 7.637 12.245
Re 4.715 7.637 5.462
Re 2.259 2.546 8.104
Cl 4.859 10.023 5.280
Cl 2.114 0.160 8.286
Cl 5.601 5.251 12.064
Cl 5.601 10.023 12.064
Cl 3.974 2.546 9.777
Cl 6.268 7.637 3.460
Cl 1.372 4.932 1.503
Cl 6.487 2.546 2.994
Cl 1.372 0.160 1.503
Cl 6.756 7.637 6.727
Cl 3.705 7.637 13.510
Cl 0.218 2.546 6.840
Cl 0.706 2.546 10.107
Cl 4.193 7.637 10.243
Cl 3.269 2.546 0.056
Cl 2.781 2.546 3.324
Cl 3.000 7.637 3.790
Cl 0.487 7.637 10.573
Cl 2.114 4.932 8.286
Cl 4.859 5.251 5.280
O 6.795 7.637 0.010
O 3.665 7.637 6.793
O 3.308 2.546 6.773
O 0.178 2.546 13.556
! excess energy over the best structure of this formula in the dataset = 0 meV/atom

***

(3)
! KReCl2O (PBE, optimized geometry); values from VASP
&SYSTEM
  ibrav = 0, nat = 5, ntyp = 4
/
ATOMIC_SPECIES
Re 186.21 Re.upf
K 39.10 K.upf
O 16.00 O.upf
Cl 35.45 Cl.upf
CELL_PARAMETERS angstrom
5.884 0.000 0.000
0.000 3.690 0.000
0.000 0.000 5.884
ATOMIC_POSITIONS angstrom
Re 0.000 1.845 0.000
K 2.942 1.845 2.942
O 0.000 0.000 0.000
Cl 0.000 0.000 2.942
Cl 2.942 0.000 0.000
! density of states at the Fermi level = 1.32 states/eV/cell

***

(4)
! K2ReCl5O (PBE, optimized geometry); values from VASP
&SYSTEM
  ibrav = 0, nat = 18, ntyp = 4
/
ATOMIC_SPECIES
Re 186.21 Re.upf
K 39.10 K.upf
O 16.00 O.upf
Cl 35.45 Cl.upf
CELL_PARAMETERS angstrom
-4.584 -6.762 6.348
-3.413 -9.117 -3.501
8.528 5.845 -0.384
ATOMIC_POSITIONS angstrom
Re -7.169 -14.235 2.553
Re -0.828 -1.644 0.295
K 2.557 -1.636 -1.943
K 1.972 -0.458 2.982
K -0.027 -4.428 3.694
K 0.558 -5.606 -1.231
O 0.000 0.000 0.000
O -3.999 -7.939 1.424
Cl 3.008 0.794 0.168
Cl -0.692 -7.284 1.660
Cl -2.794 -6.795 -1.519
Cl -3.418 -5.540 3.731
Cl -2.477 -10.828 2.295
Cl 1.223 -2.750 0.803
Cl -5.203 -9.084 4.366
Cl -4.579 -10.339 -0.883
Cl -6.098 -12.107 2.171
Cl -1.900 -3.772 0.676
! density of states at the Fermi level = 13.66 states/eV/cell
! excess energy over the best structure of this formula in the dataset = 231 meV/atom

***

(5)
! KRhCl2O (PBE, optimized geometry); values from VASP
&SYSTEM
  ibrav = 0, nat = 5, ntyp = 4
/
ATOMIC_SPECIES
K 39.10 K.upf
Rh 102.91 Rh.upf
O 16.00 O.upf
Cl 35.45 Cl.upf
CELL_PARAMETERS angstrom
5.203 0.000 0.000
0.000 5.203 0.000
0.000 0.000 3.762
ATOMIC_POSITIONS angstrom
K 2.602 2.602 1.881
Rh 0.000 0.000 0.000
O 0.000 0.000 1.881
Cl 0.000 2.602 0.000
Cl 2.602 0.000 0.000
! density of states at the Fermi level = 3.36 states/eV/cell

***

(6)
! K2RuCl5O (PBE, optimized geometry); values from VASP
&SYSTEM
  ibrav = 0, nat = 18, ntyp = 4
/
ATOMIC_SPECIES
Ru 101.07 Ru.upf
K 39.10 K.upf
O 16.00 O.upf
Cl 35.45 Cl.upf
CELL_PARAMETERS angstrom
-0.273 -1.384 10.049
4.516 -8.145 4.029
2.231 7.417 -6.555
ATOMIC_POSITIONS angstrom
Ru 3.804 -8.541 12.618
Ru 0.440 -0.988 1.460
K 3.374 -0.364 -1.263
K 0.979 3.016 1.747
K 2.040 0.634 5.266
K 4.434 -2.746 2.256
O 0.000 0.000 0.000
O 2.122 -4.764 7.039
Cl 3.234 -7.262 10.729
Cl 1.009 -2.267 3.349
Cl 1.546 2.309 -1.363
Cl 3.971 -2.271 5.709
Cl 2.924 -5.497 3.841
Cl 0.363 -1.882 7.060
Cl 4.928 -4.421 8.886
Cl 2.504 0.159 1.813
Cl 1.320 -4.032 10.236
Cl 3.881 -7.647 7.017
! density of states at the Fermi level = 13.94 states/eV/cell
! excess energy over the best structure of this formula in the dataset = 118 meV/atom

***

Number 1: total DFT energy (no corrections) -5.09 eV per atom. Number 2: total DFT energy (no corrections) -4.57 eV per atom. Number 3: total DFT energy (no corrections) -4.86 eV per atom. Number 4: total DFT energy (no corrections) -4.34 eV per atom. Number 5: total DFT energy (no corrections) -4.42 eV per atom. Number 6: total DFT energy (no corrections) -3.92 eV per atom.